# 1
## CsSrWS4 (PBE)

Data for a relaxed CsSrWS4 crystal.

Results
total magnetic moment: 1.0 μB per formula unit
energy relative to the elements, uncorrected: -1.145 eV per atom
crystal system: monoclinic
calculated total energy: -5.716 eV per atom
Fermi-level density of states: 9.43 states/eV per cell

Cell lengths 7.0505, 6.9778, 9.5632 Å; angles 90.00, 107.10, 90.00 degrees
With the nearest neighbours (Å) after each atom.
Fractional coordinates of all 14 atoms:
Cs (0.2237, 0.2500, 0.4338)  8 S 3.60-3.84
Cs (0.7763, 0.7500, 0.5662)  8 S 3.60-3.84
Sr (0.2647, 0.2500, 0.9505)  6 S 3.05-3.16
Sr (0.7353, 0.7500, 0.0495)  6 S 3.05-3.16
W (0.2829, 0.7500, 0.1712)  4 S 2.24-2.25
W (0.7171, 0.2500, 0.8288)  4 S 2.24-2.25
S (0.0917, 0.7500, 0.3227)  1 W 2.25
S (0.0979, 0.7500, 0.9363)  1 W 2.24
S (0.4909, 0.0024, 0.2097)  1 W 2.25
S (0.4909, 0.4976, 0.2097)  1 W 2.25
S (0.5091, 0.5024, 0.7903)  1 W 2.25
S (0.5091, 0.9976, 0.7903)  1 W 2.25
S (0.9021, 0.2500, 0.0637)  1 W 2.24
S (0.9083, 0.2500, 0.6773)  1 W 2.25

---

# 2
## Sm6CoSn3 (PBE)

Data for a relaxed Sm6CoSn3 crystal.

Results
total magnetic moment: 0.0 μB per formula unit
energy of formation: -0.353 eV/atom
crystal system: trigonal
calculated total energy: -5.095 eV per atom
Fermi-level density of states: 18.38 states/eV per cell

Cell lengths 8.7643, 8.7643, 8.7643 Å; angles 99.21, 99.21, 99.21 degrees
With the nearest neighbours (Å) after each atom.
Fractional coordinates of all 20 atoms:
Sm (0.0122, 0.9463, 0.6897)  1 Co 2.71
Sm (0.0537, 0.3103, 0.9878)  1 Co 2.71
Sm (0.1985, 0.5591, 0.4277)  1 Co 2.77
Sm (0.3103, 0.9878, 0.0537)  1 Co 2.71
Sm (0.4277, 0.1985, 0.5591)  1 Co 2.77
Sm (0.4409, 0.5723, 0.8015)  1 Co 2.77
Sm (0.5591, 0.4277, 0.1985)  1 Co 2.77
Sm (0.5723, 0.8015, 0.4409)  1 Co 2.77
Sm (0.6897, 0.0122, 0.9463)  1 Co 2.71
Sm (0.8015, 0.4409, 0.5723)  1 Co 2.77
Sm (0.9463, 0.6897, 0.0122)  1 Co 2.71
Sm (0.9878, 0.0537, 0.3103)  1 Co 2.71
Co (0.0000, 0.0000, 0.0000)  6 Sm 2.71
Co (0.5000, 0.5000, 0.5000)  6 Sm 2.77
Sn (0.1178, 0.3072, 0.6442)  7 Sm 3.15-3.31
Sn (0.3072, 0.6442, 0.1178)  7 Sm 3.15-3.31
Sn (0.3558, 0.8822, 0.6928)  7 Sm 3.15-3.31
Sn (0.6442, 0.1178, 0.3072)  7 Sm 3.15-3.31
Sn (0.6928, 0.3558, 0.8822)  7 Sm 3.15-3.31
Sn (0.8822, 0.6928, 0.3558)  7 Sm 3.15-3.31

---

# 3
## Mg12Tl3Rh (PBE)

Data for a relaxed Mg12Tl3Rh crystal.

Results
total magnetic moment: 0.0 μB per formula unit
energy of formation: -0.096 eV/atom
crystal system: tetragonal
calculated total energy: -2.195 eV per atom
Fermi-level density of states: 5.81 states/eV per cell

Cell lengths 4.4384, 4.4384, 17.6882 Å; angles 90.00, 90.00, 90.00 degrees
With the nearest neighbours (Å) after each atom.
Fractional coordinates of all 16 atoms:
Mg (0.0000, 0.0000, 0.0000)  8 Mg 2.88, 4 Rh 3.14
Mg (0.0000, 0.0000, 0.2376)  4 Tl 3.14, 8 Mg 3.21-3.25
Mg (0.0000, 0.0000, 0.5000)  4 Tl 3.14, 8 Mg 3.21
Mg (0.0000, 0.0000, 0.7624)  4 Tl 3.14, 8 Mg 3.21-3.25
Mg (0.0000, 0.5000, 0.1036)  6 Mg 2.88-3.14, 2 Rh 2.88
Mg (0.0000, 0.5000, 0.3686)  8 Mg 3.14-3.21, 4 Tl 3.21
Mg (0.0000, 0.5000, 0.6314)  8 Mg 3.14-3.21, 4 Tl 3.21
Mg (0.0000, 0.5000, 0.8964)  6 Mg 2.88-3.14, 2 Rh 2.88
Mg (0.5000, 0.0000, 0.1036)  6 Mg 2.88-3.14, 2 Rh 2.88
Mg (0.5000, 0.0000, 0.3686)  8 Mg 3.14-3.21, 4 Tl 3.21
Mg (0.5000, 0.0000, 0.6314)  8 Mg 3.14-3.21, 4 Tl 3.21
Mg (0.5000, 0.0000, 0.8964)  6 Mg 2.88-3.14, 2 Rh 2.88
Tl (0.5000, 0.5000, 0.2373)  12 Mg 3.14-3.24
Tl (0.5000, 0.5000, 0.5000)  12 Mg 3.14-3.21
Tl (0.5000, 0.5000, 0.7627)  12 Mg 3.14-3.24
Rh (0.5000, 0.5000, 0.0000)  12 Mg 2.88-3.14

---

# 4
## CsZnBrF2 (PBE)

Data for a relaxed CsZnBrF2 crystal.

Results
total magnetic moment: 0.0 μB per formula unit
energy relative to the elements, uncorrected: -1.855 eV per atom
crystal system: tetragonal
energy relative to the lowest polymorph listed for this composition: 0.1838 eV per atom
calculated total energy: -3.364 eV per atom
Fermi-level density of states: 0.00 states/eV per cell

Cell lengths 4.6296, 4.6296, 4.9793 Å; angles 90.00, 90.00, 90.00 degrees
With the nearest neighbours (Å) after each atom.
Fractional coordinates of all 5 atoms:
Cs (0.0000, 0.0000, 0.0000)  4 Br 3.27, 8 F 3.40
Zn (0.5000, 0.5000, 0.5000)  4 F 2.31, 2 Br 2.49
Br (0.5000, 0.5000, 0.0000)  2 Zn 2.49
F (0.0000, 0.5000, 0.5000)  2 Zn 2.31
F (0.5000, 0.0000, 0.5000)  2 Zn 2.31

---

Q: Among the records above, which one has the highest calculated total energy?
A: Mg12Tl3Rh